Record 1
## Tc2Ni (PBE)

Data for a geometry-optimized Tc2Ni structure.

As for the theoretical density: 9.328 Mg/m³. As for the energy above the lowest structure with this stoichiometry: 2.39 eV per formula unit. The value obtained for the formation enthalpy at 0 K is 70 kJ/mol of atoms. As for the density of states at the Fermi level: 17.1 states/eV per cell. The uncorrected energy comes out at -8.111 eV per atom.

It has space group Fm-3m (No. 225), with a = 5.6603 Å, b = 5.6603 Å, c = 5.6603 Å, α = 90.00°, β = 90.00° and γ = 90.00°. Symmetry generates all atoms from Tc at (0.2500, 0.2500, 0.2500) and Ni at (0.0000, 0.0000, 0.0000).

---

Record 2
## Pr2HgPt (PBE)

Data for a geometry-optimized Pr2HgPt structure.

As for the theoretical density: 9.337 Mg/m³. As for the energy above the lowest structure with this stoichiometry: 0.09 eV per formula unit. The value obtained for the formation enthalpy at 0 K is -70 kJ/mol of atoms. As for the density of states at the Fermi level: 9.7 states/eV per cell. The uncorrected energy comes out at -4.696 eV per atom.

It has space group R-3m (No. 166, hexagonal axes), with a = 4.1888 Å, b = 4.1888 Å, c = 23.7877 Å, α = 90.00°, β = 90.00° and γ = 120.00°. Symmetry generates all atoms from Pr at (0.0000, 0.0000, 0.2366), Hg at (0.0000, 0.0000, 0.0000) and Pt at (0.0000, 0.0000, 0.5000).

---

Record 3
## Ba6Na2HgPd (PBE)

Data for a geometry-optimized Ba6Na2HgPd structure.

As for the theoretical density: 3.524 Mg/m³. The value obtained for the formation enthalpy at 0 K is -19 kJ/mol of atoms. As for the density of states at the Fermi level: 32.7 states/eV per cell. The uncorrected energy comes out at -2.163 eV per atom.

It has space group Fm-3m (No. 225), with a = 13.0415 Å, b = 13.0415 Å, c = 13.0415 Å, α = 90.00°, β = 90.00° and γ = 90.00°. Symmetry generates all atoms from Ba at (0.0000, 0.0000, 0.2419), Na at (0.2500, 0.2500, 0.2500), Hg at (0.0000, 0.0000, 0.5000) and Pd at (0.0000, 0.0000, 0.0000).

---

Record 4
## Al2Si (PBE)

Data for a geometry-optimized Al2Si structure.

As for the theoretical density: 2.848 Mg/m³. As for the density of states at the Fermi level: 4.0 states/eV per cell. The uncorrected energy comes out at -4.152 eV per atom.

It has space group Cmcm (No. 63), with a = 8.2082 Å, b = 4.9642 Å, c = 4.6955 Å, α = 90.00°, β = 90.00° and γ = 90.00°. Symmetry generates all atoms from Al at (0.1634, 0.1982, 0.2500) and Si at (0.0000, 0.2917, 0.7500).